# 1
First-principles (PBE) data for a geometry-optimized ZrSn3I structure, as listed in Alexandria.

```
data_ZrSn3I
_cell_length_a 5.6850
_cell_length_b 5.6850
_cell_length_c 5.6850
_cell_angle_alpha 90.00
_cell_angle_beta 90.00
_cell_angle_gamma 90.00
_space_group_name_H-M_alt 'P m -3 m'
_space_group_IT_number 221
_space_group_name_Hall '-P 4 2 3'
loop_
_atom_site_label
_atom_site_type_symbol
_atom_site_fract_x
_atom_site_fract_y
_atom_site_fract_z
Zr1 Zr 0.0000 0.0000 0.0000
Sn1 Sn 0.0000 0.5000 0.5000
I1 I 0.5000 0.5000 0.5000
```

Summary:
**Crystal system**: cubic

# 2
First-principles (PBE) data for a geometry-optimized SrI2 structure, as listed in Alexandria.

```
data_SrI2
_cell_length_a 7.7644
_cell_length_b 7.7644
_cell_length_c 4.9804
_cell_angle_alpha 90.00
_cell_angle_beta 90.00
_cell_angle_gamma 90.00
_space_group_name_H-M_alt 'P 42/m n m'
_space_group_IT_number 136
_space_group_name_Hall '-P 4n 2n'
loop_
_atom_site_label
_atom_site_type_symbol
_atom_site_fract_x
_atom_site_fract_y
_atom_site_fract_z
Sr1 Sr 0.0000 0.0000 0.0000
I1 I 0.1976 0.1976 0.5000
```

Summary:
**Crystal system**: tetragonal

# 3
First-principles (PBE) data for a geometry-optimized Sr5I structure, as listed in Alexandria.

```
data_Sr5I
_cell_length_a 7.0240
_cell_length_b 20.7517
_cell_length_c 4.2039
_cell_angle_alpha 90.00
_cell_angle_beta 90.00
_cell_angle_gamma 90.00
_space_group_name_H-M_alt 'C m m m'
_space_group_IT_number 65
_space_group_name_Hall '-C 2 2'
loop_
_atom_site_label
_atom_site_type_symbol
_atom_site_fract_x
_atom_site_fract_y
_atom_site_fract_z
Sr1 Sr 0.0000 0.0000 0.0000
Sr2 Sr 0.0000 0.1883 0.5000
Sr3 Sr 0.0000 0.3652 0.0000
I1 I 0.0000 0.5000 0.5000
```

Summary:
**Crystal system**: orthorhombic

| no. | ΔE_f (raw) (eV per formula unit) |
| --- | --- |
| 1 | 5.82 |
| 2 | -5.05 |
| 3 | -1.95 |